Arrangement 1

La2MgHg2 | PBE-GGA | optimized geometry Values from VASP.

- SG: P4/mbm (127)

Geometry as Quantum ESPRESSO input:
```
&SYSTEM
  ibrav = 0, nat = 10, ntyp = 3
/
ATOMIC_SPECIES
Hg 200.59 Hg.upf
La 138.91 La.upf
Mg 24.30 Mg.upf
CELL_PARAMETERS angstrom
9.208 0.000 0.000
0.000 9.208 0.000
0.000 0.000 3.635
ATOMIC_POSITIONS crystal
Hg 0.631 0.869 0.500
Hg 0.131 0.631 0.500
Hg 0.869 0.369 0.500
Hg 0.369 0.131 0.500
La 0.665 0.165 0.000
La 0.165 0.335 0.000
La 0.335 0.835 0.000
La 0.835 0.665 0.000
Mg 0.500 0.500 0.000
Mg 0.000 0.000 0.000
```


Arrangement 2

La2MgHg2 | PBE-GGA | optimized geometry Values from VASP.

- SG: P4/mbm (127)

Geometry as Quantum ESPRESSO input:
```
&SYSTEM
  ibrav = 0, nat = 10, ntyp = 3
/
ATOMIC_SPECIES
Hg 200.59 Hg.upf
Mg 24.30 Mg.upf
La 138.91 La.upf
CELL_PARAMETERS angstrom
-2.842 7.904 1.163
-6.983 -3.057 3.714
1.902 0.141 3.692
ATOMIC_POSITIONS crystal
Hg 0.631 0.131 0.000
Hg 0.369 0.869 0.000
Hg 0.131 0.369 0.000
Hg 0.869 0.631 0.000
Mg 0.500 0.500 0.000
Mg 0.000 0.000 0.000
La 0.330 0.170 0.500
La 0.830 0.330 0.500
La 0.670 0.830 0.500
La 0.170 0.670 0.500
```


Arrangement 3

La2MgHg2 | PBE-GGA | optimized geometry Values from VASP.

- SG: I4/mmm (139)

Geometry as Quantum ESPRESSO input:
```
&SYSTEM
  ibrav = 0, nat = 5, ntyp = 3
/
ATOMIC_SPECIES
Hg 200.59 Hg.upf
La 138.91 La.upf
Mg 24.30 Mg.upf
CELL_PARAMETERS angstrom
-0.702 3.587 2.259
0.070 -2.279 3.642
8.257 1.932 3.584
ATOMIC_POSITIONS crystal
Hg 0.750 0.250 0.500
Hg 0.250 0.750 0.500
La 0.395 0.395 0.210
La 0.605 0.605 0.790
Mg 0.000 0.000 0.000
```


Verdict on stability: arrangement 2 comes out on top.


Arrangement 1

LaMg6Hg12 | PBE-GGA | optimized geometry Values from VASP.

- SG: R-3 (148)

Geometry as Quantum ESPRESSO input:
```
&SYSTEM
  ibrav = 0, nat = 19, ntyp = 3
/
ATOMIC_SPECIES
Hg 200.59 Hg.upf
Mg 24.30 Mg.upf
La 138.91 La.upf
CELL_PARAMETERS angstrom
7.628 0.000 2.445
-3.768 6.951 3.006
0.093 0.000 8.458
ATOMIC_POSITIONS crystal
Hg 0.660 0.866 0.854
Hg 0.340 0.134 0.146
Hg 0.252 0.457 0.630
Hg 0.486 0.146 0.720
Hg 0.118 0.370 0.087
Hg 0.795 0.913 0.457
Hg 0.205 0.087 0.543
Hg 0.794 0.280 0.866
Hg 0.748 0.543 0.370
Hg 0.206 0.720 0.134
Hg 0.882 0.630 0.913
Hg 0.514 0.854 0.280
Mg 0.674 0.220 0.278
Mg 0.048 0.722 0.498
Mg 0.326 0.780 0.722
Mg 0.454 0.502 0.220
Mg 0.546 0.498 0.780
Mg 0.952 0.278 0.502
La 0.000 0.000 0.000
```


Arrangement 2

LaMg6Hg12 | PBE-GGA | optimized geometry Values from VASP.

- SG: R-3m (166)

Geometry as Quantum ESPRESSO input:
```
&SYSTEM
  ibrav = 0, nat = 19, ntyp = 3
/
ATOMIC_SPECIES
Mg 24.30 Mg.upf
Hg 200.59 Hg.upf
La 138.91 La.upf
CELL_PARAMETERS angstrom
-3.436 -4.535 5.970
8.087 -1.604 0.185
-0.886 7.889 2.233
ATOMIC_POSITIONS crystal
Mg 0.293 0.705 0.293
Mg 0.707 0.707 0.295
Mg 0.705 0.293 0.293
Mg 0.295 0.707 0.707
Mg 0.293 0.293 0.705
Mg 0.707 0.295 0.707
Hg 0.114 0.500 0.886
Hg 0.627 0.627 0.871
Hg 0.129 0.373 0.373
Hg 0.627 0.871 0.627
Hg 0.373 0.373 0.129
Hg 0.886 0.114 0.500
Hg 0.114 0.886 0.500
Hg 0.871 0.627 0.627
Hg 0.886 0.500 0.114
Hg 0.500 0.114 0.886
Hg 0.373 0.129 0.373
Hg 0.500 0.886 0.114
La 0.000 0.000 0.000
```


Verdict on stability: arrangement 1 comes out on top.


Arrangement 1

La6MgHg | PBE-GGA | optimized geometry Values from VASP.

- SG: P-1 (2)

Geometry as Quantum ESPRESSO input:
```
&SYSTEM
  ibrav = 0, nat = 8, ntyp = 3
/
ATOMIC_SPECIES
Mg 24.30 Mg.upf
La 138.91 La.upf
Hg 200.59 Hg.upf
CELL_PARAMETERS angstrom
-6.973 5.285 -3.535
-7.885 -3.437 -2.175
-6.080 1.488 1.638
ATOMIC_POSITIONS crystal
Mg 0.500 0.500 0.500
La 0.545 0.246 0.173
La 0.754 0.963 0.738
La 0.037 0.454 0.755
La 0.455 0.754 0.827
La 0.963 0.546 0.245
La 0.246 0.037 0.262
Hg 0.000 0.000 0.000
```


Arrangement 2

La6MgHg | PBE-GGA | optimized geometry Values from VASP.

- SG: I4/mmm (139)

Geometry as Quantum ESPRESSO input:
```
&SYSTEM
  ibrav = 0, nat = 8, ntyp = 3
/
ATOMIC_SPECIES
La 138.91 La.upf
Mg 24.30 Mg.upf
Hg 200.59 Hg.upf
CELL_PARAMETERS angstrom
5.162 0.000 1.554
-0.468 5.140 1.555
-0.191 -0.210 9.981
ATOMIC_POSITIONS crystal
La 0.612 0.113 0.775
La 0.388 0.887 0.225
La 0.888 0.387 0.225
La 0.112 0.613 0.775
La 0.251 0.251 0.498
La 0.749 0.749 0.502
Mg 0.500 0.500 0.000
Hg 0.000 0.000 0.000
```


Verdict on stability: arrangement 2 comes out on top.


Arrangement 1

La3MgHg2 | PBE-GGA | optimized geometry Values from VASP.

- SG: P4/mmm (123)

Geometry as Quantum ESPRESSO input:
```
&SYSTEM
  ibrav = 0, nat = 6, ntyp = 3
/
ATOMIC_SPECIES
Mg 24.30 Mg.upf
Hg 200.59 Hg.upf
La 138.91 La.upf
CELL_PARAMETERS angstrom
3.942 0.000 0.000
0.000 3.942 0.000
0.000 0.000 11.680
ATOMIC_POSITIONS crystal
Mg 0.500 0.500 0.500
Hg 0.500 0.500 0.828
Hg 0.500 0.500 0.172
La 0.000 0.000 0.669
La 0.000 0.000 0.331
La 0.000 0.000 0.000
```


Arrangement 2

La3MgHg2 | PBE-GGA | optimized geometry Values from VASP.

- SG: Cmmm (65)

Geometry as Quantum ESPRESSO input:
```
&SYSTEM
  ibrav = 0, nat = 6, ntyp = 3
/
ATOMIC_SPECIES
Hg 200.59 Hg.upf
Mg 24.30 Mg.upf
La 138.91 La.upf
CELL_PARAMETERS angstrom
3.920 0.000 0.000
0.000 5.230 -1.731
0.000 0.021 8.827
ATOMIC_POSITIONS crystal
Hg 0.000 0.656 0.313
Hg 0.000 0.344 0.687
Mg 0.000 0.000 0.000
La 0.500 0.500 0.000
La 0.500 0.830 0.660
La 0.500 0.170 0.340
```


Verdict on stability: arrangement 2 comes out on top.